1.
# Cs2Ni3S4

A PBEsol-optimized structure of Cs2Ni3S4 (meta-GGA SCAN, Alexandria via LeMat-Bulk).

Properties
Raw formation energy in eV/atom: -0.897
Size of the total moment in μB per cell: 0.00
Crystal system: orthorhombic
Electronic total energy in eV/atom: -18.970

POSCAR file:
```
Cs2Ni3S4
1.0
-5.736 0.406 0.359
2.998 -1.518 4.680
1.978 7.519 -0.651
Cs Ni S
2 3 4
Cartesian
0.197 2.252 0.604
-0.957 4.154 3.783
-1.369 -0.556 2.520
1.499 -0.759 2.340
-2.868 0.203 0.180
-0.973 5.930 0.781
1.955 5.286 2.229
0.213 0.476 3.607
-2.714 1.121 2.159
```

***

2.
# Be3Co

A PBEsol-optimized structure of Be3Co (meta-GGA SCAN, Alexandria via LeMat-Bulk).

Properties
Energy of formation in eV/atom: -0.249
Size of the total moment in μB per cell: 0.72
Crystal system: orthorhombic
Electronic total energy in eV/atom: -7.840

POSCAR file:
```
Be3Co
1.0
-0.453 -0.723 -3.484
-3.356 -2.132 0.879
-2.443 3.662 -0.442
Be Co
6 2
Cartesian
-2.469 -1.786 -1.155
-2.335 1.124 0.071
-4.677 0.957 0.410
-3.439 -0.899 0.634
-1.365 0.237 -1.718
-2.569 2.043 -1.936
-1.184 -0.752 0.310
-3.619 0.090 -1.394
```

***

3.
# Sm2Tl

A PBEsol-optimized structure of Sm2Tl (meta-GGA SCAN, Alexandria via LeMat-Bulk).

Properties
Energy of formation in eV/atom: -0.485
Size of the total moment in μB per cell: 1.84
Crystal system: hexagonal
Electronic total energy in eV/atom: -54.233

POSCAR file:
```
Sm2Tl
1.0
5.415 0.000 0.000
-2.707 4.689 0.000
0.000 0.000 6.713
Tl Sm
2 4
Cartesian
0.000 3.126 1.678
2.707 1.563 5.035
0.000 0.000 3.357
0.000 0.000 0.000
0.000 3.126 5.035
2.707 1.563 1.678
```

***

Which of these has the lowest electronic total energy?
Sm2Tl

***

Which of these has the lowest size of the total moment?
Cs2Ni3S4

***

What is the electronic total energy in the second record?
-7.840 eV/atom

***

Look up the size of the total moment of the second one.
0.72 μB per cell